# Er2SiNi6

A relaxed Er2SiNi6 crystal (PBE-GGA, Alexandria via LeMat-Bulk).

Cell and atoms, written as POSCAR:
```
Er2SiNi6
1.0
5.2170 0.0000 0.0000
-2.6085 4.3483 1.0142
0.0000 0.0993 5.6503
Ni Er Si
6 2 1
direct
0.1217 0.7280 0.3255 Ni
0.3937 0.2720 0.6745 Ni
0.1184 0.2368 0.3182 Ni
0.8783 0.2720 0.6745 Ni
0.6063 0.7280 0.3255 Ni
0.8816 0.7632 0.6818 Ni
0.6428 0.2856 0.1584 Er
0.3572 0.7144 0.8416 Er
0.0000 0.0000 0.0000 Si
```

Energy relative to the lowest polymorph listed for this composition (kJ per mole of atoms): 0.00
Uncorrected formation energy (eV per atom): -0.534
Total magnetization (μB/cell): 0.00
V (Å³/atom): 14.18
DOS(E_F) (states/eV per atom): 0.47

---

# ErSi2Ni4

A relaxed ErSi2Ni4 crystal (PBE-GGA, Alexandria via LeMat-Bulk).

Cell and atoms, written as POSCAR:
```
ErSi2Ni4
1.0
3.6262 0.0000 0.0000
0.0000 7.1912 0.0000
0.0000 0.0000 7.1912
Ni Si Er
8 4 2
direct
0.5000 0.5834 0.1635 Ni
0.0000 0.3365 0.0834 Ni
0.5000 0.4166 0.8365 Ni
0.0000 0.6635 0.9166 Ni
0.5000 0.1635 0.5834 Ni
0.0000 0.9166 0.6635 Ni
0.5000 0.8365 0.4166 Ni
0.0000 0.0834 0.3365 Ni
0.0000 0.7778 0.2222 Si
0.5000 0.7222 0.7222 Si
0.5000 0.2778 0.2778 Si
0.0000 0.2222 0.7778 Si
0.0000 0.5000 0.5000 Er
0.5000 0.0000 0.0000 Er
```

Energy relative to the lowest polymorph listed for this composition (kJ per mole of atoms): 0.00
Uncorrected formation energy (eV per atom): -0.676
Total magnetization (μB/cell): 0.00
V (Å³/atom): 13.39
DOS(E_F) (states/eV per atom): 0.78

---

# Er2Si6Ni9

A relaxed Er2Si6Ni9 crystal (PBE-GGA, Alexandria via LeMat-Bulk).

Cell and atoms, written as POSCAR:
```
Er2Si6Ni9
1.0
-3.3773 -1.2513 3.6165
-1.1986 -0.5918 -4.9258
3.9838 -10.0610 0.2393
Si Ni Er
6 9 2
direct
0.6667 0.3333 0.0000 Si
0.3333 0.6667 0.6653 Si
0.3333 0.6667 0.3347 Si
0.3333 0.6667 0.0000 Si
0.6667 0.3333 0.3347 Si
0.6667 0.3333 0.6653 Si
0.5000 0.0000 0.8324 Ni
0.0000 0.5000 0.1676 Ni
0.5000 0.5000 0.8324 Ni
0.5000 0.5000 0.1676 Ni
0.5000 0.0000 0.1676 Ni
0.5000 0.0000 0.5000 Ni
0.0000 0.5000 0.8324 Ni
0.0000 0.5000 0.5000 Ni
0.5000 0.5000 0.5000 Ni
0.0000 0.0000 0.3151 Er
0.0000 0.0000 0.6849 Er
```

Uncorrected formation energy (eV per atom): -0.567
Total magnetization (μB/cell): 0.00
V (Å³/atom): 14.36
DOS(E_F) (states/eV per atom): 0.65

---

# ErSi3Ni2

A relaxed ErSi3Ni2 crystal (PBE-GGA, Alexandria via LeMat-Bulk).

Cell and atoms, written as POSCAR:
```
ErSi3Ni2
1.0
5.2724 0.0000 0.0000
0.0000 5.8026 0.3671
0.0000 -1.5685 5.5986
Si Ni Er
6 4 2
direct
0.7500 0.0451 0.0451 Si
0.2500 0.9549 0.9549 Si
0.2500 0.8572 0.5408 Si
0.7500 0.1428 0.4592 Si
0.2500 0.5408 0.8572 Si
0.7500 0.4592 0.1428 Si
0.5000 0.7892 0.2108 Ni
0.0000 0.2108 0.7892 Ni
0.5000 0.2108 0.7892 Ni
0.0000 0.7892 0.2108 Ni
0.2500 0.3332 0.3332 Er
0.7500 0.6668 0.6668 Er
```

Uncorrected formation energy (eV per atom): -0.547
Total magnetization (μB/cell): 0.00
V (Å³/atom): 14.53
DOS(E_F) (states/eV per atom): 0.39

---

# Er12SiNi6

A relaxed Er12SiNi6 crystal (PBE-GGA, Alexandria via LeMat-Bulk).

Cell and atoms, written as POSCAR:
```
Er12SiNi6
1.0
8.0141 -0.1607 -0.1925
-1.3738 7.8971 -0.1925
-1.3738 -1.6005 7.7356
Ni Er Si
6 12 1
direct
0.8612 0.3856 0.6738 Ni
0.3856 0.6738 0.8612 Ni
0.3262 0.1388 0.6144 Ni
0.6144 0.3262 0.1388 Ni
0.1388 0.6144 0.3262 Ni
0.6738 0.8612 0.3856 Ni
0.1772 0.4074 0.5691 Er
0.0639 0.6706 0.9076 Er
0.0924 0.9361 0.3294 Er
0.5691 0.1772 0.4074 Er
0.6706 0.9076 0.0639 Er
0.4309 0.8228 0.5926 Er
0.9076 0.0639 0.6706 Er
0.9361 0.3294 0.0924 Er
0.8228 0.5926 0.4309 Er
0.3294 0.0924 0.9361 Er
0.4074 0.5691 0.1772 Er
0.5926 0.4309 0.8228 Er
0.0000 0.0000 0.0000 Si
```

Uncorrected formation energy (eV per atom): -0.216
Total magnetization (μB/cell): 0.00
V (Å³/atom): 25.41
DOS(E_F) (states/eV per atom): 0.97

---

# Er2SiNi

A relaxed Er2SiNi crystal (PBE-GGA, Alexandria via LeMat-Bulk).

Cell and atoms, written as POSCAR:
```
Er2SiNi
1.0
3.5546 0.0000 0.0000
0.0000 4.7416 0.0000
0.0000 0.0000 4.7416
Ni Er Si
1 2 1
direct
0.5000 0.5000 0.5000 Ni
0.0000 0.5000 0.0000 Er
0.0000 0.0000 0.5000 Er
0.5000 0.0000 0.0000 Si
```

Energy relative to the lowest polymorph listed for this composition (kJ per mole of atoms): 17.21
Uncorrected formation energy (eV per atom): -0.485
Total magnetization (μB/cell): 0.00
V (Å³/atom): 19.98
DOS(E_F) (states/eV per atom): 0.66

---

# Er3Si3Ni

A relaxed Er3Si3Ni crystal (PBE-GGA, Alexandria via LeMat-Bulk).

Cell and atoms, written as POSCAR:
```
Er3Si3Ni
1.0
5.5419 0.0013 -0.0031
3.9769 3.8596 -0.0031
4.3652 1.7706 12.5762
Si Er Ni
6 6 2
direct
0.8854 0.8854 0.0759 Si
0.1146 0.1146 0.9241 Si
0.1363 0.1363 0.4572 Si
0.9536 0.9536 0.2363 Si
0.8637 0.8637 0.5428 Si
0.0464 0.0464 0.7637 Si
0.3985 0.3985 0.9213 Er
0.5293 0.5293 0.6200 Er
0.6015 0.6015 0.0787 Er
0.2528 0.2528 0.2275 Er
0.4707 0.4707 0.3800 Er
0.7472 0.7472 0.7725 Er
0.7526 0.7526 0.4030 Ni
0.2474 0.2474 0.5970 Ni
```

Uncorrected formation energy (eV per atom): -0.832
Total magnetization (μB/cell): 0.00
V (Å³/atom): 19.21
DOS(E_F) (states/eV per atom): 0.62

---

# ErSi4Ni4

A relaxed ErSi4Ni4 crystal (PBE-GGA, Alexandria via LeMat-Bulk).

Cell and atoms, written as POSCAR:
```
ErSi4Ni4
1.0
5.6200 0.0000 0.0000
0.0000 5.6200 0.0000
0.0000 0.0000 7.7853
Ni Si Er
8 8 2
direct
0.7737 0.5000 0.8873 Ni
0.0000 0.2737 0.3873 Ni
0.2263 0.5000 0.8873 Ni
0.5000 0.2263 0.1127 Ni
0.0000 0.7263 0.3873 Ni
0.5000 0.7737 0.1127 Ni
0.2737 0.0000 0.6127 Ni
0.7263 0.0000 0.6127 Ni
0.0000 0.7115 0.6817 Si
0.5000 0.2115 0.8183 Si
0.2885 0.0000 0.3183 Si
0.7885 0.5000 0.1817 Si
0.0000 0.2885 0.6817 Si
0.2115 0.5000 0.1817 Si
0.7115 0.0000 0.3183 Si
0.5000 0.7885 0.8183 Si
0.5000 0.5000 0.5000 Er
0.0000 0.0000 0.0000 Er
```

Uncorrected formation energy (eV per atom): -0.591
Total magnetization (μB/cell): 0.00
V (Å³/atom): 13.66
DOS(E_F) (states/eV per atom): 0.47

---

# Er2SiNi

A relaxed Er2SiNi crystal (PBE-GGA, Alexandria via LeMat-Bulk).

Cell and atoms, written as POSCAR:
```
Er2SiNi
1.0
-0.5895 3.1972 2.3731
1.6186 -1.9397 3.0154
3.8918 2.8243 -2.8382
Si Er Ni
1 2 1
direct
0.0000 0.6931 0.3863 Si
0.0000 0.9836 0.9672 Er
0.5000 0.2655 0.5310 Er
0.5000 0.5570 0.1140 Ni
```

Energy relative to the lowest polymorph listed for this composition (kJ per mole of atoms): 0.41
Uncorrected formation energy (eV per atom): -0.659
Total magnetization (μB/cell): 0.00
V (Å³/atom): 20.69
DOS(E_F) (states/eV per atom): 0.88

---

# ErSiNi3

A relaxed ErSiNi3 crystal (PBE-GGA, Alexandria via LeMat-Bulk).

Cell and atoms, written as POSCAR:
```
ErSiNi3
1.0
-2.5963 5.0358 -0.8014
-1.8189 1.9238 -5.0728
-0.1641 -4.6371 3.3486
Er Ni Si
1 3 1
direct
0.0118 0.0118 0.0000 Er
0.6014 0.6014 0.0000 Ni
0.2535 0.7535 0.5000 Ni
0.7535 0.2535 0.5000 Ni
0.3798 0.3798 0.0000 Si
```

Energy relative to the lowest polymorph listed for this composition (kJ per mole of atoms): 0.00
Uncorrected formation energy (eV per atom): -0.613
Total magnetization (μB/cell): 0.00
V (Å³/atom): 14.44
DOS(E_F) (states/eV per atom): 0.65